(1)
# Y3Ho3Te2Pt, optimized geometry, DFT PBE
# - Space group: P-62m, No. 189
data_Y3Ho3Te2Pt
_chemical_formula_sum 'Y3 Ho3 Te2 Pt1'
_cell_length_a 8.389
_cell_length_b 8.389
_cell_length_c 3.964
_cell_angle_alpha 90.00
_cell_angle_beta 90.00
_cell_angle_gamma 120.00
_symmetry_space_group_name_H-M 'P 1'
_symmetry_Int_Tables_number 1
_symmetry_space_group_name_Hall 'P 1'
loop_
_atom_site_label
_atom_site_type_symbol
_atom_site_fract_x
_atom_site_fract_y
_atom_site_fract_z
_atom_site_occupancy
Y1 Y 0.600 0.000 0.000 1
Y2 Y 0.000 0.600 0.000 1
Y3 Y 0.400 0.400 0.000 1
Ho1 Ho 0.756 0.756 0.500 1
Ho2 Ho 0.244 0.000 0.500 1
Ho3 Ho 0.000 0.244 0.500 1
Pt1 Pt 0.000 0.000 0.000 1
Te1 Te 0.667 0.333 0.500 1
Te2 Te 0.333 0.667 0.500 1

=====

(2)
# Y3Ho3Te2Pt, optimized geometry, DFT PBE
# - Space group: P-62m, No. 189
data_Y3Ho3Te2Pt
_chemical_formula_sum 'Y3 Ho3 Te2 Pt1'
_cell_length_a 8.419
_cell_length_b 8.419
_cell_length_c 3.947
_cell_angle_alpha 90.00
_cell_angle_beta 90.00
_cell_angle_gamma 120.00
_symmetry_space_group_name_H-M 'P 1'
_symmetry_Int_Tables_number 1
_symmetry_space_group_name_Hall 'P 1'
loop_
_atom_site_label
_atom_site_type_symbol
_atom_site_fract_x
_atom_site_fract_y
_atom_site_fract_z
_atom_site_occupancy
Te1 Te 0.667 0.333 0.500 1
Te2 Te 0.333 0.667 0.500 1
Ho1 Ho 0.600 0.000 0.000 1
Ho2 Ho 0.000 0.600 0.000 1
Ho3 Ho 0.400 0.400 0.000 1
Y1 Y 0.247 0.000 0.500 1
Y2 Y 0.753 0.753 0.500 1
Y3 Y 0.000 0.247 0.500 1
Pt1 Pt 0.000 0.000 0.000 1

=====

Short version: (2) is the least stable of them.

=====

(1)
# HoPtW, optimized geometry, DFT PBE
# - Space group: F-43m, No. 216
data_HoPtW
_chemical_formula_sum 'Ho1 Pt1 W1'
_cell_length_a 4.586
_cell_length_b 4.586
_cell_length_c 4.586
_cell_angle_alpha 60.00
_cell_angle_beta 60.00
_cell_angle_gamma 60.00
_symmetry_space_group_name_H-M 'P 1'
_symmetry_Int_Tables_number 1
_symmetry_space_group_name_Hall 'P 1'
loop_
_atom_site_label
_atom_site_type_symbol
_atom_site_fract_x
_atom_site_fract_y
_atom_site_fract_z
_atom_site_occupancy
W1 W 0.250 0.250 0.250 1
Pt1 Pt 0.750 0.750 0.750 1
Ho1 Ho 0.000 0.000 0.000 1

=====

(2)
# HoPtW, optimized geometry, DFT PBE
# - Space group: F-43m, No. 216
data_HoPtW
_chemical_formula_sum 'Ho1 Pt1 W1'
_cell_length_a 4.545
_cell_length_b 4.545
_cell_length_c 4.545
_cell_angle_alpha 60.00
_cell_angle_beta 60.00
_cell_angle_gamma 60.00
_symmetry_space_group_name_H-M 'P 1'
_symmetry_Int_Tables_number 1
_symmetry_space_group_name_Hall 'P 1'
loop_
_atom_site_label
_atom_site_type_symbol
_atom_site_fract_x
_atom_site_fract_y
_atom_site_fract_z
_atom_site_occupancy
Pt1 Pt 0.000 0.000 0.000 1
W1 W 0.750 0.750 0.750 1
Ho1 Ho 0.250 0.250 0.250 1

=====

Short version: (1) is the least stable of them.

=====

(1)
# YHoPt, optimized geometry, DFT PBE
# - Space group: Pnma, No. 62
data_YHoPt
_chemical_formula_sum 'Y4 Ho4 Pt4'
_cell_length_a 7.114
_cell_length_b 4.774
_cell_length_c 8.809
_cell_angle_alpha 90.00
_cell_angle_beta 90.00
_cell_angle_gamma 90.00
_symmetry_space_group_name_H-M 'P 1'
_symmetry_Int_Tables_number 1
_symmetry_space_group_name_Hall 'P 1'
loop_
_atom_site_label
_atom_site_type_symbol
_atom_site_fract_x
_atom_site_fract_y
_atom_site_fract_z
_atom_site_occupancy
Y1 Y 0.644 0.250 0.418 1
Y2 Y 0.856 0.750 0.918 1
Y3 Y 0.144 0.250 0.082 1
Y4 Y 0.356 0.750 0.582 1
Pt1 Pt 0.737 0.250 0.093 1
Pt2 Pt 0.237 0.250 0.407 1
Pt3 Pt 0.763 0.750 0.593 1
Pt4 Pt 0.263 0.750 0.907 1
Ho1 Ho 0.510 0.250 0.833 1
Ho2 Ho 0.490 0.750 0.167 1
Ho3 Ho 0.010 0.250 0.667 1
Ho4 Ho 0.990 0.750 0.333 1

=====

(2)
# YHoPt, optimized geometry, DFT PBE
# - Space group: Pnma, No. 62
data_YHoPt
_chemical_formula_sum 'Y4 Ho4 Pt4'
_cell_length_a 7.142
_cell_length_b 4.763
_cell_length_c 8.752
_cell_angle_alpha 90.00
_cell_angle_beta 90.00
_cell_angle_gamma 90.00
_symmetry_space_group_name_H-M 'P 1'
_symmetry_Int_Tables_number 1
_symmetry_space_group_name_Hall 'P 1'
loop_
_atom_site_label
_atom_site_type_symbol
_atom_site_fract_x
_atom_site_fract_y
_atom_site_fract_z
_atom_site_occupancy
Y1 Y 0.510 0.250 0.669 1
Y2 Y 0.990 0.750 0.169 1
Y3 Y 0.010 0.250 0.831 1
Y4 Y 0.490 0.750 0.331 1
Ho1 Ho 0.144 0.250 0.420 1
Ho2 Ho 0.644 0.250 0.080 1
Ho3 Ho 0.856 0.750 0.580 1
Ho4 Ho 0.356 0.750 0.920 1
Pt1 Pt 0.255 0.750 0.594 1
Pt2 Pt 0.245 0.250 0.094 1
Pt3 Pt 0.755 0.750 0.906 1
Pt4 Pt 0.745 0.250 0.406 1

=====

(3)
# YHoPt, optimized geometry, DFT PBE
# - Space group: F-43m, No. 216
data_YHoPt
_chemical_formula_sum 'Y1 Ho1 Pt1'
_cell_length_a 4.757
_cell_length_b 4.757
_cell_length_c 4.757
_cell_angle_alpha 60.00
_cell_angle_beta 60.00
_cell_angle_gamma 60.00
_symmetry_space_group_name_H-M 'P 1'
_symmetry_Int_Tables_number 1
_symmetry_space_group_name_Hall 'P 1'
loop_
_atom_site_label
_atom_site_type_symbol
_atom_site_fract_x
_atom_site_fract_y
_atom_site_fract_z
_atom_site_occupancy
Pt1 Pt 0.500 0.500 0.500 1
Y1 Y 0.250 0.250 0.250 1
Ho1 Ho 0.000 0.000 0.000 1

=====

Short version: (3) is the least stable of them.

=====

(1)
# RbHoPu, optimized geometry, DFT PBE
# - Space group: F-43m, No. 216
data_RbHoPu
_chemical_formula_sum 'Rb1 Ho1 Pu1'
_cell_length_a 5.786
_cell_length_b 5.786
_cell_length_c 5.786
_cell_angle_alpha 60.00
_cell_angle_beta 60.00
_cell_angle_gamma 60.00
_symmetry_space_group_name_H-M 'P 1'
_symmetry_Int_Tables_number 1
_symmetry_space_group_name_Hall 'P 1'
loop_
_atom_site_label
_atom_site_type_symbol
_atom_site_fract_x
_atom_site_fract_y
_atom_site_fract_z
_atom_site_occupancy
Rb1 Rb 0.000 0.000 0.000 1
Ho1 Ho 0.250 0.250 0.250 1
Pu1 Pu 0.750 0.750 0.750 1

=====

(2)
# RbHoPu, optimized geometry, DFT PBE
# - Space group: F-43m, No. 216
data_RbHoPu
_chemical_formula_sum 'Rb1 Ho1 Pu1'
_cell_length_a 5.818
_cell_length_b 5.818
_cell_length_c 5.818
_cell_angle_alpha 60.00
_cell_angle_beta 60.00
_cell_angle_gamma 60.00
_symmetry_space_group_name_H-M 'P 1'
_symmetry_Int_Tables_number 1
_symmetry_space_group_name_Hall 'P 1'
loop_
_atom_site_label
_atom_site_type_symbol
_atom_site_fract_x
_atom_site_fract_y
_atom_site_fract_z
_atom_site_occupancy
Rb1 Rb 0.750 0.750 0.750 1
Ho1 Ho 0.250 0.250 0.250 1
Pu1 Pu 0.000 0.000 0.000 1

=====

Short version: (1) is the least stable of them.